Computed, not measured: a relaxed structure of Ac2U3NiPt12 at the GGA-PBE level of DFT.

As for the calculated total energy: -7.263 eV/atom. The space-group type is No. 166. For the calculated volume, the calculation gives 374.7 Å³ per cell. The formation energy is -577 meV/atom.

abc: 7.3060 7.3060 7.3060
angles: 80.22 80.22 80.22
Sites, in units of the cell vectors:
Ac1 0.6382 0.6382 0.6382
Pt1 0.7994 0.7994 0.2280
Pt2 0.2280 0.7994 0.7994
Pt3 0.6052 0.0654 0.6052
Ni1 0.0000 0.0000 0.0000
Pt4 0.0654 0.6052 0.6052
Pt5 0.6052 0.6052 0.0654
Pt6 0.2006 0.7720 0.2006
Ac2 0.3618 0.3618 0.3618
Pt7 0.2006 0.2006 0.7720
Pt8 0.3948 0.3948 0.9346
Pt9 0.3948 0.9346 0.3948
Pt10 0.9346 0.3948 0.3948
Pt11 0.7720 0.2006 0.2006
U1 0.0000 0.0000 0.5000
Pt12 0.7994 0.2280 0.7994
U2 0.0000 0.5000 0.0000
U3 0.5000 0.0000 0.0000